! Tb3Zn8Cu3 | Alexandria via LeMat-Bulk | GGA-PBE | optimized geometry; values from VASP
&SYSTEM
  ibrav = 0, nat = 14, ntyp = 3
/
ATOMIC_SPECIES
Tb 158.93 Tb.upf
Zn 65.41 Zn.upf
Cu 63.55 Cu.upf
CELL_PARAMETERS angstrom
-2.176 4.394 6.391
2.176 -4.394 6.391
2.176 4.394 -6.391
ATOMIC_POSITIONS angstrom
Tb 0.000 0.000 0.000
Tb 0.000 0.000 3.810
Tb 0.000 0.000 8.972
Zn 2.176 -1.259 2.036
Zn 2.176 -1.856 4.752
Zn 2.176 1.259 2.036
Zn 0.000 2.538 1.639
Zn 2.176 1.856 4.752
Zn 0.000 3.136 4.355
Zn 0.000 6.251 1.639
Zn 0.000 5.653 4.355
Cu 2.176 2.811 0.000
Cu 0.000 4.394 0.000
Cu 0.000 1.583 6.391
! DFT formation energy (eV per atom): -0.292
! DOS at the Fermi energy (states/eV/cell): 7.8
! Uncorrected energy (Ry/atom): -0.2124



! Tb2Zn5Cu | Alexandria via LeMat-Bulk | GGA-PBE | optimized geometry; values from VASP
&SYSTEM
  ibrav = 0, nat = 16, ntyp = 3
/
ATOMIC_SPECIES
Tb 158.93 Tb.upf
Zn 65.41 Zn.upf
Cu 63.55 Cu.upf
CELL_PARAMETERS angstrom
2.135 -8.001 0.000
2.135 8.001 0.000
0.000 0.000 8.821
ATOMIC_POSITIONS angstrom
Tb 0.000 0.000 0.000
Tb 0.000 0.000 4.410
Tb 2.135 4.879 6.616
Tb 2.135 -4.879 2.205
Zn 2.135 4.978 0.933
Zn 2.135 4.978 3.478
Zn 2.135 2.343 0.224
Zn 2.135 2.343 4.187
Zn 2.135 1.594 6.616
Zn 2.135 -1.594 2.205
Zn 2.135 -2.343 4.634
Zn 2.135 -2.343 8.597
Zn 2.135 -4.978 5.343
Zn 2.135 -4.978 7.888
Cu 2.135 0.854 2.205
Cu 2.135 -0.854 6.616
! DFT formation energy (eV per atom): -0.301
! DOS at the Fermi energy (states/eV/cell): 7.7
! Uncorrected energy (Ry/atom): -0.2034



! Tb3Zn2Cu3 | Alexandria via LeMat-Bulk | GGA-PBE | optimized geometry; values from VASP
&SYSTEM
  ibrav = 0, nat = 32, ntyp = 3
/
ATOMIC_SPECIES
Tb 158.93 Tb.upf
Zn 65.41 Zn.upf
Cu 63.55 Cu.upf
CELL_PARAMETERS angstrom
7.627 0.000 0.000
0.000 15.223 0.000
0.000 0.000 5.516
ATOMIC_POSITIONS angstrom
Tb 0.322 1.592 0.790
Tb 0.322 6.020 0.790
Tb 1.359 3.806 3.405
Tb 2.454 11.417 0.647
Tb 3.492 9.204 3.548
Tb 3.492 13.631 3.548
Tb 4.136 1.592 1.968
Tb 4.136 6.020 1.968
Tb 5.173 3.806 4.869
Tb 6.268 11.417 2.111
Tb 7.305 9.204 4.726
Tb 7.305 13.631 4.726
Zn 0.863 9.214 1.997
Zn 0.863 13.621 1.997
Zn 2.951 1.603 4.755
Zn 2.951 6.009 4.755
Zn 4.676 9.214 0.761
Zn 4.676 13.621 0.761
Zn 6.765 1.603 3.518
Zn 6.765 6.009 3.518
Cu 1.352 11.417 3.371
Cu 1.368 0.530 3.267
Cu 1.368 7.081 3.267
Cu 2.446 8.142 0.509
Cu 2.446 14.693 0.509
Cu 2.462 3.806 0.613
Cu 5.166 11.417 4.903
Cu 5.182 0.530 5.007
Cu 5.182 7.081 5.007
Cu 6.260 8.142 2.249
Cu 6.260 14.693 2.249
Cu 6.276 3.806 2.145
! DFT formation energy (eV per atom): -0.263
! DOS at the Fermi energy (states/eV/cell): 22.6
! Uncorrected energy (Ry/atom): -0.2833



> Number 2 is which compound?

Tb2Zn5Cu